Model A:
## CaTmHg4 (PBE)

Data for a geometry-optimized CaTmHg4 structure.

Cell and atoms, written as POSCAR:
```
CaTmHg4
1.0
10.641 0.000 0.000
0.000 3.856 0.000
-2.923 0.000 7.331
Ca Tm Hg
2 2 8
Direct
0.000 0.000 0.000 Ca
0.500 0.500 0.000 Ca
0.000 0.000 0.500 Tm
0.500 0.500 0.500 Tm
0.167 0.500 0.341 Hg
0.168 0.500 0.825 Hg
0.332 0.000 0.175 Hg
0.333 0.000 0.659 Hg
0.667 0.000 0.341 Hg
0.668 0.000 0.825 Hg
0.832 0.500 0.175 Hg
0.833 0.500 0.659 Hg
```

Properties
Calculated volume   300.81 Å³ per cell
Density   11.2 g/cm³

Model B:
## CaTmHg4 (PBE)

Data for a geometry-optimized CaTmHg4 structure.

Cell and atoms, written as POSCAR:
```
CaTmHg4
1.0
4.920 0.000 0.000
0.000 8.561 0.000
-0.009 0.000 7.085
Ca Tm Hg
2 2 8
Direct
0.000 0.000 0.000 Ca
0.500 0.500 0.000 Ca
0.000 0.000 0.500 Tm
0.500 0.500 0.500 Tm
0.000 0.333 0.268 Hg
0.000 0.333 0.732 Hg
0.000 0.667 0.268 Hg
0.000 0.667 0.732 Hg
0.500 0.167 0.268 Hg
0.500 0.167 0.732 Hg
0.500 0.833 0.268 Hg
0.500 0.833 0.732 Hg
```

Properties
Calculated volume   298.41 Å³ per cell
Density   11.3 g/cm³

Which one sits at the bottom of the stability order? model A does.

Model A:
## CaTm2Hg (PBE)

Data for a geometry-optimized CaTm2Hg structure.

Cell and atoms, written as POSCAR:
```
CaTm2Hg
1.0
4.883 0.000 0.000
0.000 4.883 0.000
0.000 0.000 4.661
Ca Tm Hg
1 2 1
Direct
0.000 0.000 0.000 Ca
0.000 0.500 0.500 Tm
0.500 0.000 0.500 Tm
0.500 0.500 0.000 Hg
```

Properties
Calculated volume   111.16 Å³ per cell
Density   8.6 g/cm³

Model B:
## CaTm2Hg (PBE)

Data for a geometry-optimized CaTm2Hg structure.

Cell and atoms, written as POSCAR:
```
CaTm2Hg
1.0
3.691 0.000 0.000
0.000 3.691 0.000
0.000 0.000 9.045
Ca Tm Hg
1 2 1
Direct
0.000 0.000 0.000 Ca
0.500 0.500 0.305 Tm
0.500 0.500 0.695 Tm
0.000 0.000 0.500 Hg
```

Properties
Calculated volume   123.25 Å³ per cell
Density   7.8 g/cm³

Which one sits at the bottom of the stability order? model A does.

Model A:
## CaTmHg (PBE)

Data for a geometry-optimized CaTmHg structure.

Cell and atoms, written as POSCAR:
```
CaTmHg
1.0
3.714 0.000 0.000
0.000 3.714 0.000
0.000 0.000 12.936
Ca Tm Hg
2 2 2
Direct
0.000 0.000 0.000 Ca
0.500 0.500 0.500 Ca
0.000 0.000 0.284 Tm
0.500 0.500 0.784 Tm
0.000 0.000 0.658 Hg
0.500 0.500 0.158 Hg
```

Properties
Calculated volume   178.39 Å³ per cell
Density   7.6 g/cm³

Model B:
## CaTmHg (PBE)

Data for a geometry-optimized CaTmHg structure.

Cell and atoms, written as POSCAR:
```
CaTmHg
1.0
5.169 0.000 0.000
-2.585 4.477 0.000
0.000 0.000 3.827
Ca Tm Hg
1 1 1
Direct
0.000 0.000 0.000 Ca
0.333 0.667 0.522 Tm
0.667 0.333 0.372 Hg
```

Properties
Calculated volume   88.58 Å³ per cell
Density   7.7 g/cm³

Which one sits at the bottom of the stability order? model B does.

Model A:
## CaTmZnHg (PBE)

Data for a geometry-optimized CaTmZnHg structure.

Cell and atoms, written as POSCAR:
```
CaTmZnHg
1.0
3.671 0.000 0.000
0.000 3.671 0.000
0.000 0.000 7.295
Ca Tm Zn Hg
1 1 1 1
Direct
0.000 0.000 0.000 Ca
0.000 0.000 0.481 Tm
0.500 0.500 0.264 Zn
0.500 0.500 0.724 Hg
```

Properties
Calculated volume   98.33 Å³ per cell
Density   8.0 g/cm³

Model B:
## CaTmZnHg (PBE)

Data for a geometry-optimized CaTmZnHg structure.

Cell and atoms, written as POSCAR:
```
CaTmZnHg
1.0
7.317 0.000 0.000
0.000 7.317 0.000
0.000 0.000 7.317
Ca Tm Zn Hg
4 4 4 4
Direct
0.000 0.000 0.000 Ca
0.000 0.500 0.500 Ca
0.500 0.000 0.500 Ca
0.500 0.500 0.000 Ca
0.000 0.000 0.500 Tm
0.000 0.500 0.000 Tm
0.500 0.000 0.000 Tm
0.500 0.500 0.500 Tm
0.250 0.250 0.250 Zn
0.250 0.750 0.750 Zn
0.750 0.250 0.750 Zn
0.750 0.750 0.250 Zn
0.250 0.250 0.750 Hg
0.250 0.750 0.250 Hg
0.750 0.250 0.250 Hg
0.750 0.750 0.750 Hg
```

Properties
Calculated volume   391.81 Å³ per cell
Density   8.1 g/cm³

Which one sits at the bottom of the stability order? model B does.

Model A:
## Ca3VHg (PBE)

Data for a geometry-optimized Ca3VHg structure.

Cell and atoms, written as POSCAR:
```
Ca3VHg
1.0
5.770 0.000 0.000
0.000 5.770 0.000
0.000 0.000 5.770
Ca V Hg
3 1 1
Direct
0.000 0.000 0.500 Ca
0.000 0.500 0.000 Ca
0.500 0.000 0.000 Ca
0.500 0.500 0.500 V
0.000 0.000 0.000 Hg
```

Properties
Calculated volume   192.11 Å³ per cell
Density   3.2 g/cm³

Model B:
## Ca3VHg (PBE)

Data for a geometry-optimized Ca3VHg structure.

Cell and atoms, written as POSCAR:
```
Ca3VHg
1.0
5.804 0.000 0.000
0.000 5.804 0.000
0.000 0.000 5.804
Ca V Hg
3 1 1
Direct
0.000 0.000 0.500 Ca
0.000 0.500 0.000 Ca
0.500 0.000 0.000 Ca
0.000 0.000 0.000 V
0.500 0.500 0.500 Hg
```

Properties
Calculated volume   195.52 Å³ per cell
Density   3.2 g/cm³

Which one sits at the bottom of the stability order? model B does.

Model A:
## Ca3HgW (PBE)

Data for a geometry-optimized Ca3HgW structure.

Cell and atoms, written as POSCAR:
```
Ca3HgW
1.0
5.716 0.000 0.000
0.000 5.716 0.000
0.000 0.000 5.716
Ca Hg W
3 1 1
Direct
0.000 0.000 0.500 Ca
0.000 0.500 0.000 Ca
0.500 0.000 0.000 Ca
0.000 0.000 0.000 Hg
0.500 0.500 0.500 W
```

Properties
Calculated volume   186.74 Å³ per cell
Density   4.5 g/cm³

Model B:
## Ca3HgW (PBE)

Data for a geometry-optimized Ca3HgW structure.

Cell and atoms, written as POSCAR:
```
Ca3HgW
1.0
5.545 0.000 0.000
0.000 5.545 0.000
0.000 0.000 5.545
Ca Hg W
3 1 1
Direct
0.000 0.000 0.500 Ca
0.000 0.500 0.000 Ca
0.500 0.000 0.000 Ca
0.500 0.500 0.500 Hg
0.000 0.000 0.000 W
```

Properties
Calculated volume   170.51 Å³ per cell
Density   4.9 g/cm³

Which one sits at the bottom of the stability order? model A does.

Model A:
## CaHg2W2 (PBE)

Data for a geometry-optimized CaHg2W2 structure.

Cell and atoms, written as POSCAR:
```
CaHg2W2
1.0
4.604 0.000 0.000
0.000 4.604 0.000
0.000 0.000 11.182
Ca Hg W
2 4 4
Direct
0.000 0.000 0.000 Ca
0.500 0.500 0.500 Ca
0.000 0.500 0.250 Hg
0.000 0.500 0.750 Hg
0.500 0.000 0.250 Hg
0.500 0.000 0.750 Hg
0.000 0.000 0.399 W
0.000 0.000 0.601 W
0.500 0.500 0.101 W
0.500 0.500 0.899 W
```

Properties
Calculated volume   237.03 Å³ per cell
Density   11.3 g/cm³

Model B:
## CaHg2W2 (PBE)

Data for a geometry-optimized CaHg2W2 structure.

Cell and atoms, written as POSCAR:
```
CaHg2W2
1.0
8.466 0.000 0.000
0.000 8.466 0.000
0.000 0.000 2.922
Ca Hg W
2 4 4
Direct
0.000 0.000 0.000 Ca
0.500 0.500 0.000 Ca
0.189 0.311 0.500 Hg
0.311 0.811 0.500 Hg
0.689 0.189 0.500 Hg
0.811 0.689 0.500 Hg
0.105 0.605 0.000 W
0.395 0.105 0.000 W
0.605 0.895 0.000 W
0.895 0.395 0.000 W
```

Properties
Calculated volume   209.47 Å³ per cell
Density   12.8 g/cm³

Which one sits at the bottom of the stability order? model A does.

Model A:
## Ca2Y2Hg (PBE)

Data for a geometry-optimized Ca2Y2Hg structure.

Cell and atoms, written as POSCAR:
```
Ca2Y2Hg
1.0
7.846 0.000 0.000
0.000 7.846 0.000
0.000 0.000 5.763
Ca Y Hg
4 4 2
Direct
0.163 0.337 0.000 Ca
0.337 0.837 0.000 Ca
0.663 0.163 0.000 Ca
0.837 0.663 0.000 Ca
0.149 0.649 0.500 Y
0.351 0.149 0.500 Y
0.649 0.851 0.500 Y
0.851 0.351 0.500 Y
0.000 0.000 0.500 Hg
0.500 0.500 0.500 Hg
```

Properties
Calculated volume   354.78 Å³ per cell
Density   4.3 g/cm³

Model B:
## Ca2Y2Hg (PBE)

Data for a geometry-optimized Ca2Y2Hg structure.

Cell and atoms, written as POSCAR:
```
Ca2Y2Hg
1.0
7.783 0.000 0.000
0.000 7.783 0.000
0.000 0.000 5.586
Ca Y Hg
4 4 2
Direct
0.149 0.351 0.000 Ca
0.351 0.851 0.000 Ca
0.649 0.149 0.000 Ca
0.851 0.649 0.000 Ca
0.163 0.663 0.500 Y
0.337 0.163 0.500 Y
0.663 0.837 0.500 Y
0.837 0.337 0.500 Y
0.000 0.000 0.000 Hg
0.500 0.500 0.000 Hg
```

Properties
Calculated volume   338.38 Å³ per cell
Density   4.5 g/cm³

Which one sits at the bottom of the stability order? model B does.